[1]
This record from Alexandria describes Pm4DySc4 after structural relaxation. The functional is PBE.

Calculated values
- DOS at the Fermi energy: 14.3 states/eV/cell
- Magnetization: 0.000 μB/atom
- Calculated formation energy: 0.060 eV/atom

abc: 7.7517 7.7517 7.7517
angles: 95.70 95.70 143.25
Fractional positions:
Pm: 0.0000 0.3267 0.3267
Pm: 0.0000 0.6733 0.6733
Pm: 0.3267 0.0000 0.3267
Pm: 0.6733 0.0000 0.6733
Dy: 0.0000 0.0000 0.0000
Sc: 0.3343 0.3343 0.6686
Sc: 0.3343 0.6657 0.0000
Sc: 0.6657 0.3343 0.0000
Sc: 0.6657 0.6657 0.3314

=====

[2]
This record from Alexandria describes PmDy4Sc8 after structural relaxation. The functional is PBE.

Calculated values
- DOS at the Fermi energy: 24.2 states/eV/cell
- Magnetization: 0.211 μB/atom
- Calculated formation energy: 0.603 eV/atom

abc: 7.3941 7.3941 7.3941
angles: 90.10 90.10 90.10
Fractional positions:
Pm: 0.0000 0.0000 0.0000
Dy: 0.0000 0.0000 0.5000
Dy: 0.0000 0.5000 0.0000
Dy: 0.5000 0.0000 0.0000
Dy: 0.5000 0.5000 0.5000
Sc: 0.2613 0.2613 0.2613
Sc: 0.2605 0.7382 0.7382
Sc: 0.2618 0.2618 0.7395
Sc: 0.2618 0.7395 0.2618
Sc: 0.7382 0.2605 0.7382
Sc: 0.7382 0.7382 0.2605
Sc: 0.7395 0.2618 0.2618
Sc: 0.7387 0.7387 0.7387

=====

[3]
This record from Alexandria describes Pm2DySc after structural relaxation. The functional is PBE.

Calculated values
- DOS at the Fermi energy: 14.0 states/eV/cell
- Magnetization: 0.000 μB/atom
- Calculated formation energy: 0.044 eV/atom
- Distance to the lowest polymorph of the same formula: 5 meV/atom

abc: 3.5431 3.5431 34.0584
angles: 90.00 90.00 120.00
Fractional positions:
Pm: 0.0000 0.0000 0.2470
Pm: 0.0000 0.0000 0.7530
Pm: 0.3333 0.6667 0.4197
Pm: 0.3333 0.6667 0.9137
Pm: 0.6667 0.3333 0.0863
Pm: 0.6667 0.3333 0.5803
Dy: 0.0000 0.0000 0.0000
Dy: 0.3333 0.6667 0.6667
Dy: 0.6667 0.3333 0.3333
Sc: 0.0000 0.0000 0.5000
Sc: 0.3333 0.6667 0.1667
Sc: 0.6667 0.3333 0.8333

=====

[4]
This record from Alexandria describes Pm7Dy3Sc after structural relaxation. The functional is PBE.

Calculated values
- DOS at the Fermi energy: 14.5 states/eV/cell
- Magnetization: 0.000 μB/atom
- Calculated formation energy: 0.232 eV/atom
- Distance to the lowest polymorph of the same formula: 38 meV/atom

abc: 8.5082 8.5082 5.8063
angles: 109.94 109.94 83.44
Fractional positions:
Pm: 0.0000 0.0000 0.0000
Pm: 0.0976 0.5220 0.3099
Pm: 0.2856 0.2856 0.7867
Pm: 0.4780 0.9024 0.6901
Pm: 0.5220 0.0976 0.3099
Pm: 0.7144 0.7144 0.2133
Pm: 0.9024 0.4780 0.6901
Dy: 0.2966 0.7034 0.0000
Dy: 0.5000 0.5000 0.5000
Dy: 0.7034 0.2966 0.0000
Sc: 0.0000 0.0000 0.5000